Entry 1:
First-principles (PBE) data for a geometry-optimized La2NdTmH structure, as listed in Alexandria.

## Properties
The symmetry is P4/mmm.

The structure in POSCAR format:
```
La2NdTmH
1.0
5.210 0.000 0.000
0.000 5.210 0.000
0.000 0.000 5.074
La Nd Tm H
2 1 1 1
Cartesian
0.000 2.605 0.000
2.605 0.000 0.000
0.000 0.000 2.537
2.605 2.605 2.537
2.605 2.605 0.000
```

Entry 2:
First-principles (PBE) data for a geometry-optimized Mg2FeHgC structure, as listed in Alexandria.

## Properties
The value obtained for the formation energy is 0.45 eV per formula unit. The symmetry is P4/mmm.

The structure in POSCAR format:
```
Mg2FeHgC
1.0
4.544 0.000 0.000
0.000 4.544 0.000
0.000 0.000 3.689
Mg Fe Hg C
2 1 1 1
Cartesian
0.000 2.272 0.000
2.272 0.000 0.000
0.000 0.000 1.844
2.272 2.272 1.844
0.000 0.000 0.000
```

Entry 3:
First-principles (PBE) data for a geometry-optimized Ac4SiBi2 structure, as listed in Alexandria.

## Properties
The symmetry is I4/mmm.

The structure in POSCAR format:
```
Ac4SiBi2
1.0
-2.895 2.895 8.805
2.895 -2.895 8.805
2.895 2.895 -8.805
Ac Si Bi
4 1 2
Cartesian
2.895 0.000 0.000
0.000 0.000 3.039
0.000 2.895 0.000
0.000 0.000 14.572
0.000 0.000 0.000
0.000 0.000 6.458
0.000 0.000 11.153
```

Entry 4:
First-principles (PBE) data for a geometry-optimized Mo2Se structure, as listed in Alexandria.

## Properties
As for the polymorph energy (0 for the lowest one): 89.8 meV per atom. The symmetry is C2/m.

The structure in POSCAR format:
```
Mo2Se
1.0
5.405 -1.573 0.000
5.405 1.573 0.000
-1.182 0.000 5.726
Mo Se
4 2
Cartesian
-0.033 0.000 1.723
2.968 0.000 2.034
6.660 0.000 3.691
9.661 0.000 4.003
2.730 0.000 5.282
6.898 0.000 0.443
```

Entry 5:
First-principles (PBE) data for a geometry-optimized V5TcRu2 structure, as listed in Alexandria.

## Properties
The value obtained for the formation energy is -2.64 eV per formula unit. The symmetry is I4/mmm.

The structure in POSCAR format:
```
V5TcRu2
1.0
-3.010 3.010 2.994
3.010 -3.010 2.994
3.010 3.010 -2.994
V Tc Ru
5 1 2
Cartesian
0.000 0.000 0.000
1.505 1.505 -1.497
1.505 -1.505 1.497
-1.505 1.505 1.497
1.505 1.505 1.497
0.000 0.000 2.994
3.010 0.000 0.000
0.000 3.010 0.000
```

Entry 6:
First-principles (PBE) data for a geometry-optimized Hf3ScIr4 structure, as listed in Alexandria.

## Properties
The value obtained for the formation energy is -7.54 eV per formula unit. The symmetry is Pmmm.

The structure in POSCAR format:
```
Hf3ScIr4
1.0
3.525 0.000 0.000
0.000 4.446 0.000
0.000 0.000 8.878
Hf Sc Ir
3 1 4
Cartesian
0.000 0.000 0.000
0.000 2.223 2.256
0.000 2.223 6.622
0.000 0.000 4.439
1.762 0.000 2.194
1.762 0.000 6.684
1.762 2.223 0.000
1.762 2.223 4.439
```

Entry 7:
First-principles (PBE) data for a geometry-optimized HOsO2 structure, as listed in Alexandria.

## Properties
The symmetry is I-42d.

The structure in POSCAR format:
```
HOsO2
1.0
-2.143 2.143 3.743
2.143 -2.143 3.743
2.143 2.143 -3.743
H Os O
2 2 4
Cartesian
0.000 0.000 0.000
0.000 2.143 1.871
2.143 0.000 1.871
0.000 0.000 3.743
3.215 0.718 -0.936
0.718 1.072 0.936
-1.072 1.426 2.807
1.426 1.072 4.679
```

Entry 8:
First-principles (PBE) data for a geometry-optimized TlCd6Au12 structure, as listed in Alexandria.

## Properties
The value obtained for the formation energy is -1.00 eV per formula unit. The symmetry is R-3m.

The structure in POSCAR format:
```
TlCd6Au12
1.0
6.187 3.572 3.085
-6.187 3.572 3.085
0.000 -7.144 3.085
Tl Cd Au
1 6 12
Cartesian
0.000 0.000 0.000
0.000 -2.838 4.006
-2.458 1.419 4.006
-2.458 -1.419 5.251
2.458 1.419 4.006
2.458 -1.419 5.251
0.000 2.839 5.251
-1.487 -0.859 2.471
-2.398 -4.154 4.628
-4.797 0.000 4.628
1.487 -0.859 2.471
0.000 1.718 2.471
2.398 -4.154 4.628
-2.398 4.154 4.628
0.000 -1.718 6.786
-1.487 0.859 6.786
4.797 0.000 4.628
2.398 4.154 4.628
1.487 0.859 6.786
```

no.,D(E_F) (states/eV/f.u.),uncorrected energy (eV/cell)
1,3.98,-23.31
2,2.78,-20.73
3,5.71,-32.96
4,1.61,-50.32
5,6.06,-77.15
6,5.25,-79.18
7,0.34,-48.32
8,6.66,-48.18